Entry 1:
Here is Li6CdBr8 after structural relaxation from Alexandria via LeMat-Bulk. Energies are from PBE-GGA.

Summary:
- raw formation energy (eV/atom) = -1.383

```
data_Li6CdBr8
_chemical_formula_sum 'Li24 Cd4 Br32'
_space_group_name_H-M_alt 'F m -3 m'
_space_group_IT_number 225
_space_group_name_Hall '-F 4 2 3'
_cell_length_a 11.132
_cell_length_b 11.132
_cell_length_c 11.132
_cell_angle_alpha 90.00
_cell_angle_beta 90.00
_cell_angle_gamma 90.00
loop_
_atom_site_label
_atom_site_fract_x
_atom_site_fract_y
_atom_site_fract_z
Li1 0.000 0.250 0.250
Cd1 0.000 0.000 0.000
Br1 0.000 0.000 0.250
Br2 0.250 0.250 0.250
```

---

Entry 2:
Here is Cs5Pb2O6 after structural relaxation from Alexandria via LeMat-Bulk. Energies are from PBE-GGA.

Summary:
- raw formation energy (eV/atom) = -1.150

```
data_Cs5Pb2O6
_chemical_formula_sum 'Cs20 Pb8 O24'
_space_group_name_H-M_alt 'C 1 2/c 1'
_space_group_IT_number 15
_cell_length_a 12.158
_cell_length_b 8.023
_cell_length_c 16.136
_cell_angle_alpha 90.00
_cell_angle_beta 97.84
_cell_angle_gamma 90.00
loop_
_space_group_symop_operation_xyz
'x,y,z'
'-x,-y,-z'
'-x,y,-z+1/2'
'x,-y,z+1/2'
'x+1/2,y+1/2,z'
'-x+1/2,-y+1/2,-z'
'-x+1/2,y+1/2,-z+1/2'
'x+1/2,-y+1/2,z+1/2'
loop_
_atom_site_label
_atom_site_fract_x
_atom_site_fract_y
_atom_site_fract_z
Cs1 0.000 0.090 0.250
Cs2 0.045 0.231 0.987
Cs3 0.152 0.450 0.706
Pb1 0.224 0.375 0.421
O1 0.061 0.460 0.379
O2 0.148 0.081 0.653
O3 0.210 0.100 0.444
```

---

Entry 3:
Here is Ta3MnN6 after structural relaxation from Alexandria via LeMat-Bulk. Energies are from PBE-GGA.

Summary:
- raw formation energy (eV/atom) = -0.710

```
data_Ta3MnN6
_chemical_formula_sum 'Ta6 Mn2 N12'
_space_group_name_H-M_alt 'P 1 21/m 1'
_space_group_IT_number 11
_cell_length_a 5.015
_cell_length_b 7.685
_cell_length_c 5.483
_cell_angle_alpha 90.00
_cell_angle_beta 90.38
_cell_angle_gamma 90.00
loop_
_space_group_symop_operation_xyz
'x,y,z'
'-x,-y,-z'
'-x,y+1/2,-z'
'x,-y+1/2,z'
loop_
_atom_site_label
_atom_site_fract_x
_atom_site_fract_y
_atom_site_fract_z
Ta1 0.000 0.000 0.000
Ta2 0.043 0.250 0.567
Ta3 0.473 0.250 0.086
Mn1 0.500 0.000 0.500
N1 0.159 0.750 0.074
N2 0.190 0.081 0.315
N3 0.328 0.079 0.809
N4 0.329 0.750 0.570
```

---

Entry 4:
Here is YMg2Co after structural relaxation from Alexandria via LeMat-Bulk. Energies are from PBE-GGA.

Summary:
- calculated formation energy (kJ/mol of formula units) = 101.0

```
data_YMg2Co
_chemical_formula_sum 'Y2 Mg4 Co2'
_space_group_name_H-M_alt 'C 1 2/m 1'
_space_group_IT_number 12
_cell_length_a 5.636
_cell_length_b 10.774
_cell_length_c 3.184
_cell_angle_alpha 90.00
_cell_angle_beta 118.96
_cell_angle_gamma 90.00
loop_
_space_group_symop_operation_xyz
'x,y,z'
'-x,-y,-z'
'-x,y,-z'
'x,-y,z'
'x+1/2,y+1/2,z'
'-x+1/2,-y+1/2,-z'
'-x+1/2,y+1/2,-z'
'x+1/2,-y+1/2,z'
loop_
_atom_site_label
_atom_site_fract_x
_atom_site_fract_y
_atom_site_fract_z
Y1 0.000 0.000 0.000
Mg1 0.250 0.250 0.500
Co1 0.000 0.500 0.000
```

---

The calculation returns the following volume values, one per record and in order: 1379.3; 1559.1; 211.3; 169.2 Å³ per cell.